Material: Be2ZnPb
Method: DFT, PBE
State: relaxed

Energy above the lowest structure with this stoichiometry, kJ per mole of atoms: 39.9
Space group: I4/mmm (139)
Calculated volume, Å³/cell: 128.8

```
Be2ZnPb
1.0
4.0799 0.0000 0.0000
0.0000 4.0799 0.0000
0.0000 0.0000 7.7348
Be Zn Pb
4 2 2
Direct
0.0000 0.5000 0.2500
0.0000 0.5000 0.7500
0.5000 0.0000 0.2500
0.5000 0.0000 0.7500
0.0000 0.0000 0.0000
0.5000 0.5000 0.5000
0.0000 0.0000 0.5000
0.5000 0.5000 0.0000
```



Material: Be2ZnPb
Method: DFT, PBE
State: relaxed

Energy above the lowest structure with this stoichiometry, kJ per mole of atoms: 1.9
Space group: Cm (8)
Calculated volume, Å³/cell: 139.5

```
Be2ZnPb
1.0
6.7503 0.0000 0.0000
0.0000 3.8973 0.0000
-2.4044 0.0000 5.3011
Be Zn Pb
4 2 2
Direct
0.0000 0.0000 0.0000
0.1732 0.5000 0.0203
0.5000 0.5000 0.0000
0.6732 0.0000 0.0203
0.3021 0.0000 0.9102
0.8021 0.5000 0.9102
0.4863 0.0000 0.4687
0.9863 0.5000 0.4687
```